A geometry-optimized LiOsPt2 structure. Source: Alexandria via LeMat-Bulk, functional PBE-GGA.

```
LiOsPt2
1.0
3.889 0.000 0.000
0.000 3.889 0.000
0.000 0.000 3.796
Li Os Pt
1 1 2
direct
0.000 0.000 0.000 Li
0.500 0.500 0.000 Os
0.000 0.500 0.500 Pt
0.500 0.000 0.500 Pt
```

Values from the calculation:
The calculated density comes out at 16.99 g/cm³. For the energy above the most stable polymorph in this dataset, the calculation gives 273 meV/atom. As for the crystal system: tetragonal.